First-principles (GGA+U) data for a relaxed SrCaW2O8 crystal, as listed in Alexandria.

Cell lengths 6.409, 6.409, 6.409 Å; angles 106.73, 106.73, 115.11 degrees
Atoms (fractional coordinates):
W  0.500  0.500  0.000
Ca  0.250  0.750  0.500
W  0.750  0.250  0.500
O  0.400  0.084  0.316
O  0.916  0.231  0.316
O  0.339  0.529  0.189
O  0.916  0.600  0.684
Sr  0.000  0.000  0.000
O  0.471  0.661  0.811
O  0.769  0.084  0.684
O  0.339  0.150  0.811
O  0.850  0.661  0.189

Electronic total energy in eV per atom: -7.262